[1]
Entry from OQMD: a relaxed GdGaHg2 crystal (PBE-GGA).

electronic total energy	-19.61	eV per cell

The structure in POSCAR format:
```
GdGaHg2
1.0
3.2309 -5.7844 0.0000
3.2309 5.7844 0.0000
0.0000 0.0000 4.9188
Gd Ga Hg
2 2 4
Direct
0.1700 0.8300 0.7500
0.8300 0.1700 0.2500
0.3377 0.6623 0.2500
0.6623 0.3377 0.7500
0.1734 0.3406 0.7500
0.3406 0.1734 0.2500
0.6594 0.8266 0.7500
0.8266 0.6594 0.2500
```



[2]
Entry from OQMD: a relaxed Gd2Ga3Hg3 crystal (PBE-GGA).

electronic total energy	-22.49	eV per cell

The structure in POSCAR format:
```
Gd2Ga3Hg3
1.0
6.4175 0.0000 0.0000
0.0000 4.8277 0.0000
-3.0916 0.0000 5.7275
Gd Ga Hg
2 3 3
Direct
0.0000 0.0000 0.0000
0.3328 0.5000 0.6796
0.3460 0.5000 0.1747
0.4975 0.0000 0.0185
0.8215 0.5000 0.6572
0.5006 0.0000 0.4956
0.8186 0.5000 0.1708
0.9877 0.0000 0.5032
```



[3]
Entry from OQMD: a relaxed GdGaHg crystal (PBE-GGA).

electronic total energy	-8.26	eV per cell

The structure in POSCAR format:
```
GdGaHg
1.0
0.0000 3.4752 3.4752
3.4752 0.0000 3.4752
3.4752 3.4752 0.0000
Gd Ga Hg
1 1 1
Direct
0.0000 0.0000 0.0000
0.7500 0.7500 0.7500
0.2500 0.2500 0.2500
```



[4]
Entry from OQMD: a relaxed GdGa2Hg crystal (PBE-GGA).

relative energy among the computed polymorphs	4.5	meV per atom

The structure in POSCAR format:
```
GdGa2Hg
1.0
3.3048 -5.5005 0.0000
3.3048 5.5005 0.0000
0.0000 0.0000 4.6999
Gd Ga Hg
2 4 2
Direct
0.1579 0.8421 0.7500
0.8421 0.1579 0.2500
0.1914 0.3457 0.7500
0.3457 0.1914 0.2500
0.6543 0.8086 0.7500
0.8086 0.6543 0.2500
0.3397 0.6603 0.2500
0.6603 0.3397 0.7500
```



[5]
Entry from OQMD: a relaxed GdGa2Hg crystal (PBE-GGA).

relative energy among the computed polymorphs	0.0	meV per atom

The structure in POSCAR format:
```
GdGa2Hg
1.0
4.6533 0.0000 0.0000
0.0000 3.2115 5.7240
0.0000 -3.2115 5.7240
Gd Ga Hg
2 4 2
Direct
0.0000 0.0000 0.0000
0.5000 0.3451 0.3451
0.0000 0.5150 0.5150
0.5000 0.3727 0.8120
0.5000 0.8120 0.3727
0.5000 0.8190 0.8190
0.0000 0.5027 0.9902
0.0000 0.9902 0.5027
```



[6]
Entry from OQMD: a relaxed GdGaHg2 crystal (PBE-GGA).

electronic total energy	-19.60	eV per cell

The structure in POSCAR format:
```
GdGaHg2
1.0
4.8974 0.0000 0.0000
0.0000 5.6533 3.3222
0.0000 -5.6533 3.3222
Gd Ga Hg
2 2 4
Direct
0.2500 0.1647 0.8353
0.7500 0.8353 0.1647
0.2500 0.6726 0.8240
0.7500 0.8240 0.6726
0.2500 0.1761 0.3432
0.2500 0.6755 0.3526
0.7500 0.3432 0.1761
0.7500 0.3526 0.6755
```



[7]
Entry from OQMD: a relaxed GdGa2Hg crystal (PBE-GGA).

relative energy among the computed polymorphs	3.7	meV per atom

The structure in POSCAR format:
```
GdGa2Hg
1.0
4.7780 0.0000 0.0000
0.0000 5.6780 3.1532
0.0000 -5.6780 3.1532
Gd Ga Hg
2 4 2
Direct
0.2500 0.1727 0.8273
0.7500 0.8273 0.1727
0.2500 0.1879 0.3325
0.2500 0.6368 0.3360
0.7500 0.3325 0.1879
0.7500 0.3360 0.6368
0.2500 0.6565 0.8210
0.7500 0.8210 0.6565
```



[8]
Entry from OQMD: a relaxed GdHoGa5 crystal (PBE-GGA).

electronic total energy	-27.36	eV per cell

The structure in POSCAR format:
```
GdHoGa5
1.0
4.2302 0.0000 0.0000
0.0000 4.2302 0.0000
0.0000 0.0000 8.3482
Gd Ho Ga
1 1 5
Direct
0.0000 0.0000 0.0000
0.0000 0.0000 0.5000
0.0000 0.5000 0.2558
0.0000 0.5000 0.7442
0.5000 0.0000 0.2558
0.5000 0.0000 0.7442
0.5000 0.5000 0.0000
```



[9]
Entry from OQMD: a relaxed GdHoGa6 crystal (PBE-GGA).

electronic total energy	-31.72	eV per cell

The structure in POSCAR format:
```
GdHoGa6
1.0
6.2745 0.0000 0.0000
-3.1372 5.4339 0.0000
0.0000 0.0000 4.5680
Gd Ho Ga
1 1 6
Direct
0.0000 0.0000 0.0000
0.3333 0.6667 0.5000
0.3705 0.1852 0.5000
0.5182 0.0364 0.0000
0.5182 0.4818 0.0000
0.8148 0.1852 0.5000
0.8148 0.6295 0.5000
0.9636 0.4818 0.0000
```



[10]
Entry from OQMD: a relaxed GdHoGa crystal (PBE-GGA).

relative energy among the computed polymorphs	0.0	meV per atom

The structure in POSCAR format:
```
GdHoGa
1.0
0.0000 3.5165 3.5165
3.5165 0.0000 3.5165
3.5165 3.5165 0.0000
Gd Ho Ga
1 1 1
Direct
0.0000 0.0000 0.0000
0.5000 0.5000 0.5000
0.2500 0.2500 0.2500
```



[11]
Entry from OQMD: a relaxed GdHoGa2 crystal (PBE-GGA).

electronic total energy	-17.80	eV per cell

The structure in POSCAR format:
```
GdHoGa2
1.0
4.0647 0.0000 0.0000
0.0000 2.1752 5.4520
0.0000 -2.1752 5.4520
Gd Ho Ga
1 1 2
Direct
0.0000 0.0000 0.0000
0.5000 0.7213 0.7213
0.0000 0.2835 0.2835
0.5000 0.4373 0.4373
```



[12]
Entry from OQMD: a relaxed GdHoGa2I2 crystal (PBE-GGA).

electronic total energy	-24.60	eV per cell

The structure in POSCAR format:
```
GdHoGa2I2
1.0
4.2064 0.0000 0.0000
-2.1032 3.6428 0.0000
0.0000 0.0000 12.1986
Gd Ho Ga I
1 1 2 2
Direct
0.0000 0.0000 0.0000
0.0000 0.0000 0.3311
0.3333 0.6667 0.1947
0.6667 0.3333 0.1387
0.3333 0.6667 0.8350
0.6667 0.3333 0.4937
```



[13]
Entry from OQMD: a relaxed GdHo2Mg3InGa2 crystal (PBE-GGA).

electronic total energy	-31.39	eV per cell

The structure in POSCAR format:
```
GdHo2Mg3InGa2
1.0
4.5530 0.0000 0.0000
0.0000 6.3561 3.6515
0.0000 -6.3561 3.6515
Gd Ho Mg In Ga
1 2 3 1 2
Direct
0.0000 0.0000 0.0000
0.0000 0.1252 0.5625
0.0000 0.5625 0.1252
0.5000 0.3125 0.3125
0.5000 0.5617 0.8120
0.5000 0.8120 0.5617
0.0000 0.5600 0.5600
0.5000 0.2301 0.8946
0.5000 0.8946 0.2301
```



[14]
Entry from OQMD: a relaxed Gd2HoMg3InGa2 crystal (PBE-GGA).

electronic total energy	-31.52	eV per cell

The structure in POSCAR format:
```
Gd2HoMg3InGa2
1.0
4.5660 0.0000 0.0000
0.0000 6.3488 3.6839
0.0000 -6.3488 3.6839
Gd Ho Mg In Ga
2 1 3 1 2
Direct
0.0000 0.2186 0.7814
0.0000 0.7814 0.2186
0.0000 0.3445 0.3445
0.5000 0.0311 0.0311
0.5000 0.5313 0.7806
0.5000 0.7806 0.5313
0.0000 0.7790 0.7790
0.5000 0.1158 0.4469
0.5000 0.4469 0.1158
```



[15]
Entry from OQMD: a relaxed Gd2HoZn3InGa2 crystal (PBE-GGA).

electronic total energy	-31.08	eV per cell

The structure in POSCAR format:
```
Gd2HoZn3InGa2
1.0
4.4007 0.0000 0.0000
0.0000 6.1143 3.5432
0.0000 -6.1143 3.5432
Gd Ho Zn In Ga
2 1 3 1 2
Direct
0.0000 0.2206 0.7794
0.0000 0.7794 0.2206
0.0000 0.3369 0.3369
0.5000 0.0328 0.0328
0.5000 0.5250 0.7784
0.5000 0.7784 0.5250
0.0000 0.7763 0.7763
0.5000 0.1137 0.4442
0.5000 0.4442 0.1137
```



[16]
Entry from OQMD: a relaxed GdHo2Mg3Ga3 crystal (PBE-GGA).

electronic total energy	-32.00	eV per cell

The structure in POSCAR format:
```
GdHo2Mg3Ga3
1.0
4.4335 0.0000 0.0000
0.0000 6.3148 3.6255
0.0000 -6.3148 3.6255
Gd Ho Mg Ga
1 2 3 3
Direct
0.0000 0.0000 0.0000
0.0000 0.1461 0.5728
0.0000 0.5728 0.1461
0.5000 0.3291 0.3291
0.5000 0.5720 0.8153
0.5000 0.8153 0.5720
0.0000 0.5697 0.5697
0.5000 0.2406 0.9046
0.5000 0.9046 0.2406
```



[17]
Entry from OQMD: a relaxed Gd2HoMg3Ga3 crystal (PBE-GGA).

electronic total energy	-32.11	eV per cell

The structure in POSCAR format:
```
Gd2HoMg3Ga3
1.0
4.4447 0.0000 0.0000
0.0000 6.3049 3.6607
0.0000 -6.3049 3.6607
Gd Ho Mg Ga
2 1 3 3
Direct
0.0000 0.2131 0.7869
0.0000 0.7869 0.2131
0.0000 0.3614 0.3614
0.5000 0.0296 0.0296
0.5000 0.5430 0.7862
0.5000 0.7862 0.5430
0.0000 0.7838 0.7838
0.5000 0.1215 0.4521
0.5000 0.4521 0.1215
```



[18]
Entry from OQMD: a relaxed Gd2HoMg3TlGa2 crystal (PBE-GGA).

electronic total energy	-30.95	eV per cell

The structure in POSCAR format:
```
Gd2HoMg3TlGa2
1.0
4.5662 0.0000 0.0000
0.0000 6.3551 3.6871
0.0000 -6.3551 3.6871
Gd Ho Mg Tl Ga
2 1 3 1 2
Direct
0.0000 0.2185 0.7815
0.0000 0.7815 0.2185
0.0000 0.3447 0.3447
0.5000 0.0313 0.0313
0.5000 0.5312 0.7808
0.5000 0.7808 0.5312
0.0000 0.7790 0.7790
0.5000 0.1159 0.4470
0.5000 0.4470 0.1159
```



[19]
Entry from OQMD: a relaxed GdHoGa4Ni2 crystal (PBE-GGA).

electronic total energy	-37.68	eV per cell

The structure in POSCAR format:
```
GdHoGa4Ni2
1.0
6.7157 0.0000 0.0000
0.0000 2.0566 5.0621
0.0000 -2.0566 5.0621
Gd Ho Ga Ni
1 1 4 2
Direct
0.0000 0.0000 0.0000
0.5000 0.1423 0.1423
0.1968 0.7153 0.7153
0.3050 0.4259 0.4259
0.6950 0.4259 0.4259
0.8032 0.7153 0.7153
0.0000 0.2831 0.2831
0.5000 0.8596 0.8596
```



[20]
Entry from OQMD: a relaxed GdHo2Ga3Si2Ni crystal (PBE-GGA).

electronic total energy	-45.51	eV per cell

The structure in POSCAR format:
```
GdHo2Ga3Si2Ni
1.0
4.1489 0.0000 0.0000
0.0000 5.9629 3.4294
0.0000 -5.9629 3.4294
Gd Ho Ga Si Ni
1 2 3 2 1
Direct
0.0000 0.0000 0.0000
0.0000 0.1929 0.5960
0.0000 0.5960 0.1929
0.5000 0.3601 0.3601
0.5000 0.5942 0.8310
0.5000 0.8310 0.5942
0.5000 0.2648 0.9277
0.5000 0.9277 0.2648
0.0000 0.5927 0.5927
```



[21]
Entry from OQMD: a relaxed GdHoGa4Pt2 crystal (PBE-GGA).

electronic total energy	-40.87	eV per cell

The structure in POSCAR format:
```
GdHoGa4Pt2
1.0
6.7307 0.0000 0.0000
0.0000 2.1844 5.0990
0.0000 -2.1844 5.0990
Gd Ho Ga Pt
1 1 4 2
Direct
0.0000 0.0000 0.0000
0.5000 0.1666 0.1666
0.1983 0.7135 0.7135
0.3034 0.4517 0.4517
0.6966 0.4517 0.4517
0.8017 0.7135 0.7135
0.0000 0.2882 0.2882
0.5000 0.8780 0.8780
```



[22]
Entry from OQMD: a relaxed GdHoGa3Si2 crystal (PBE-GGA).

electronic total energy	-33.02	eV per cell

The structure in POSCAR format:
```
GdHoGa3Si2
1.0
5.1473 -2.0348 0.0000
5.1473 2.0348 0.0000
-1.2900 0.0000 6.4828
Gd Ho Ga Si
1 1 3 2
Direct
0.0000 0.0000 0.0000
0.7619 0.7619 0.3688
0.0772 0.0772 0.5431
0.3794 0.3794 0.6830
0.6848 0.6848 0.8236
0.2876 0.2876 0.0530
0.4745 0.4745 0.3194
```



[23]
Entry from OQMD: a relaxed Gd2HoTmGa2 crystal (PBE-GGA).

electronic total energy	-26.72	eV per cell

The structure in POSCAR format:
```
Gd2HoTmGa2
1.0
5.1646 0.0000 0.0000
-2.5823 4.4727 0.0000
0.0000 0.0000 6.6052
Gd Ho Tm Ga
2 1 1 2
Direct
0.0000 0.0000 0.2485
0.0000 0.0000 0.7515
0.3333 0.6667 0.5000
0.6667 0.3333 0.0000
0.3333 0.6667 0.0000
0.6667 0.3333 0.5000
```



[24]
Entry from OQMD: a relaxed LaGdGa2I2 crystal (PBE-GGA).

electronic total energy	-25.28	eV per cell

The structure in POSCAR format:
```
LaGdGa2I2
1.0
4.3035 0.0000 0.0000
-2.1518 3.7270 0.0000
0.0000 0.0000 12.4923
La Gd Ga I
1 1 2 2
Direct
0.0000 0.0000 0.0000
0.0000 0.0000 0.3347
0.3333 0.6667 0.1986
0.6667 0.3333 0.1463
0.3333 0.6667 0.8287
0.6667 0.3333 0.4936
```



[25]
Entry from OQMD: a relaxed GdLuGa2I2 crystal (PBE-GGA).

electronic total energy	-24.31	eV per cell

The structure in POSCAR format:
```
GdLuGa2I2
1.0
4.1859 0.0000 0.0000
-2.0930 3.6251 0.0000
0.0000 0.0000 12.0977
Gd Lu Ga I
1 1 2 2
Direct
0.0000 0.0000 0.0000
0.0000 0.0000 0.6706
0.3333 0.6667 0.8605
0.6667 0.3333 0.8023
0.3333 0.6667 0.5097
0.6667 0.3333 0.1693
```